No. 1
{"formula": "Pu3Te3O", "functional": "PBE", "state": "relaxed", "cell": [[13.494, 0.000, 0.000], [0.000, 4.201, 0.000], [0.000, 0.000, 13.742]], "species": ["Pu", "Pu", "Pu", "Pu", "Pu", "Pu", "Pu", "Pu", "Pu", "Pu", "Pu", "Pu", "Te", "Te", "Te", "Te", "Te", "Te", "Te", "Te", "Te", "Te", "Te", "Te", "O", "O", "O", "O"], "fractional_positions": [[0.033, 0.250, 0.159], [0.064, 0.250, 0.628], [0.205, 0.250, 0.860], [0.295, 0.750, 0.360], [0.436, 0.750, 0.128], [0.467, 0.750, 0.659], [0.533, 0.250, 0.341], [0.564, 0.250, 0.872], [0.705, 0.250, 0.640], [0.795, 0.750, 0.140], [0.936, 0.750, 0.372], [0.967, 0.750, 0.841], [0.103, 0.250, 0.395], [0.126, 0.750, 0.006], [0.223, 0.750, 0.687], [0.277, 0.250, 0.187], [0.374, 0.250, 0.506], [0.397, 0.750, 0.895], [0.603, 0.250, 0.105], [0.626, 0.750, 0.494], [0.723, 0.750, 0.813], [0.777, 0.250, 0.313], [0.874, 0.250, 0.994], [0.897, 0.750, 0.605], [0.042, 0.250, 0.795], [0.458, 0.750, 0.295], [0.542, 0.250, 0.705], [0.958, 0.750, 0.205]], "polymorph_energy_mev_per_atom": 26, "sg": "No. 62", "raw_formation_energy_ev_per_atom": -1.4882}

No. 2
{"formula": "CdAgPd5", "functional": "PBE", "state": "relaxed", "cell": [[-2.544, 2.638, 4.630], [2.544, -2.638, 4.630], [2.544, 2.638, -4.630]], "species": ["Cd", "Ag", "Pd", "Pd", "Pd", "Pd", "Pd"], "fractional_positions": [[0.000, 0.000, 0.000], [0.838, 0.338, 0.500], [0.310, 0.064, 0.754], [0.310, 0.556, 0.246], [0.348, 0.591, 0.757], [0.561, 0.061, 0.500], [0.834, 0.591, 0.243]], "polymorph_energy_mev_per_atom": 113, "formation_energy_ev_per_atom": 0.091, "sg": "No. 44"}

No. 3
{"formula": "Er4Cu2N", "functional": "PBE", "state": "relaxed", "cell": [[-2.340, 2.340, 6.790], [2.340, -2.340, 6.790], [2.340, 2.340, -6.790]], "species": ["Er", "Er", "Er", "Er", "Cu", "Cu", "N"], "fractional_positions": [[0.000, 0.500, 0.500], [0.179, 0.179, 0.000], [0.500, 0.000, 0.500], [0.821, 0.821, 0.000], [0.378, 0.378, 0.000], [0.622, 0.622, 0.000], [0.000, 0.000, 0.000]], "sg": "No. 139", "raw_formation_energy_ev_per_atom": -0.5252}

No. 4
{"formula": "ReAgAu2", "functional": "PBE", "state": "relaxed", "cell": [[1.430, 0.826, 9.597], [-1.430, 0.826, 9.597], [0.000, -1.651, 9.597]], "species": ["Re", "Ag", "Au", "Au"], "fractional_positions": [[0.000, 0.000, 0.000], [0.749, 0.749, 0.749], [0.254, 0.254, 0.254], [0.501, 0.501, 0.501]], "polymorph_energy_mev_per_atom": 38, "formation_energy_ev_per_atom": 0.370, "sg": "No. 160"}

No. 5
{"formula": "CaGe3Pd3", "functional": "PBE", "state": "relaxed", "cell": [[6.863, 0.000, 0.000], [0.000, 6.863, 0.000], [0.000, 0.000, 6.863]], "species": ["Ca", "Ca", "Ge", "Ge", "Ge", "Ge", "Ge", "Ge", "Pd", "Pd", "Pd", "Pd", "Pd", "Pd"], "fractional_positions": [[0.000, 0.000, 0.000], [0.500, 0.500, 0.500], [0.000, 0.250, 0.500], [0.000, 0.750, 0.500], [0.250, 0.500, 0.000], [0.500, 0.000, 0.250], [0.500, 0.000, 0.750], [0.750, 0.500, 0.000], [0.000, 0.500, 0.250], [0.000, 0.500, 0.750], [0.250, 0.000, 0.500], [0.500, 0.250, 0.000], [0.500, 0.750, 0.000], [0.750, 0.000, 0.500]], "polymorph_energy_mev_per_atom": 161, "formation_energy_ev_per_atom": -0.283, "sg": "No. 223"}

No. 6
{"formula": "RbScPbBr6", "functional": "PBE", "state": "relaxed", "cell": [[7.532, 0.000, 0.000], [-3.766, 6.523, 0.000], [0.000, 0.000, 14.745]], "species": ["Rb", "Rb", "Sc", "Sc", "Pb", "Pb", "Br", "Br", "Br", "Br", "Br", "Br", "Br", "Br", "Br", "Br", "Br", "Br"], "fractional_positions": [[0.000, 0.000, 0.000], [0.000, 0.000, 0.500], [0.333, 0.667, 0.250], [0.667, 0.333, 0.750], [0.333, 0.667, 0.750], [0.667, 0.333, 0.250], [0.037, 0.389, 0.143], [0.037, 0.648, 0.357], [0.352, 0.389, 0.357], [0.352, 0.963, 0.143], [0.389, 0.037, 0.643], [0.389, 0.352, 0.857], [0.611, 0.648, 0.143], [0.611, 0.963, 0.357], [0.648, 0.037, 0.857], [0.648, 0.611, 0.643], [0.963, 0.352, 0.643], [0.963, 0.611, 0.857]], "sg": "No. 163", "raw_formation_energy_ev_per_atom": -1.4782}

| no. | N(E_F) (states/eV/atom) |
| --- | --- |
| 1 | 4.5921 |
| 2 | 1.0600 |
| 3 | 1.2144 |
| 4 | 1.1700 |
| 5 | 0.6359 |
| 6 | 0.0000 |